This record from Alexandria via LeMat-Bulk describes LiSc2Ga9 after structural relaxation. The functional is PBE-GGA.

Output
formation enthalpy at 0 K = -385 meV per atom
DOS at the Fermi energy = 0.5502 states/eV/atom
space-group type = P4/mmm (123)
VASP energy = -46.4 eV per cell

Cell lengths 4.0946, 4.0946, 12.3272 Å; angles 90.00, 90.00, 90.00 degrees
With the nearest neighbours (Å) after each atom.
Sites, in units of the cell vectors:
Ga 0.0000 0.5000 0.5000  8 Ga 2.90, 4 Sc 2.91
Ga 0.0000 0.5000 0.1594  2 Li 2.84, 8 Ga 2.84-2.96, 2 Sc 2.95
Ga 0.5000 0.5000 0.6667  4 Sc 2.90, 8 Ga 2.90-2.96
Ga 0.5000 0.0000 0.8406  8 Ga 2.84-2.96, 2 Li 2.84, 2 Sc 2.95
Ga 0.0000 0.5000 0.8406  8 Ga 2.84-2.96, 2 Li 2.84, 2 Sc 2.95
Ga 0.5000 0.0000 0.1594  8 Ga 2.84-2.96, 2 Li 2.84, 2 Sc 2.95
Ga 0.5000 0.5000 0.0000  8 Ga 2.84, 4 Li 2.90
Ga 0.5000 0.0000 0.5000  8 Ga 2.90, 4 Sc 2.91
Ga 0.5000 0.5000 0.3333  4 Sc 2.90, 8 Ga 2.90-2.96
Li 0.0000 0.0000 0.0000  12 Ga 2.84-2.90
Sc 0.0000 0.0000 0.3320  12 Ga 2.90-2.95
Sc 0.0000 0.0000 0.6680  12 Ga 2.90-2.95

---

This record from Alexandria via LeMat-Bulk describes LiSc3Ga after structural relaxation. The functional is PBE-GGA.

Output
formation enthalpy at 0 K = 448 meV per atom
DOS at the Fermi energy = 1.0710 states/eV/atom
space-group type = Pm-3m (221)
VASP energy = -21.7 eV per cell

Cell lengths 4.8393, 4.8393, 4.8393 Å; angles 90.00, 90.00, 90.00 degrees
With the nearest neighbours (Å) after each atom.
Sites, in units of the cell vectors:
Li 0.0000 0.0000 0.0000  6 Sc 2.42
Sc 0.0000 0.5000 0.0000  2 Li 2.42
Sc 0.0000 0.0000 0.5000  2 Li 2.42
Sc 0.5000 0.0000 0.0000  2 Li 2.42
Ga 0.5000 0.5000 0.5000  12 Sc 3.42

---

This record from Alexandria via LeMat-Bulk describes Li2Sc2Ga after structural relaxation. The functional is PBE-GGA.

Output
distance to the lowest polymorph of the same formula = 0.000 eV/atom
formation enthalpy at 0 K = -61 meV per atom
DOS at the Fermi energy = 0.6951 states/eV/atom
space-group type = P4/mbm (127)
VASP energy = -39.6 eV per cell

Cell lengths 6.5040, 6.5040, 4.4424 Å; angles 90.00, 90.00, 90.00 degrees
With the nearest neighbours (Å) after each atom.
Sites, in units of the cell vectors:
Sc 0.8108 0.3108 0.5000  6 Li 2.78-3.06
Sc 0.1892 0.6892 0.5000  6 Li 2.78-3.06
Sc 0.3108 0.1892 0.5000  6 Li 2.78-3.06
Sc 0.6892 0.8108 0.5000  6 Li 2.78-3.06
Ga 0.5000 0.5000 0.0000  4 Li 2.56
Ga 0.0000 0.0000 0.0000  4 Li 2.56
Li 0.1287 0.3713 0.0000  1 Li 2.37, 2 Ga 2.56
Li 0.8713 0.6287 0.0000  1 Li 2.37, 2 Ga 2.56
Li 0.6287 0.1287 0.0000  1 Li 2.37, 2 Ga 2.56
Li 0.3713 0.8713 0.0000  1 Li 2.37, 2 Ga 2.56

---

This record from Alexandria via LeMat-Bulk describes LiSc5Ga4 after structural relaxation. The functional is PBE-GGA.

Output
distance to the lowest polymorph of the same formula = 0.000 eV/atom
formation enthalpy at 0 K = -463 meV per atom
DOS at the Fermi energy = 0.5436 states/eV/atom
space-group type = P4/mmm (123)
VASP energy = -50.3 eV per cell

Cell lengths 3.3444, 3.3444, 17.2169 Å; angles 90.00, 90.00, 90.00 degrees
With the nearest neighbours (Å) after each atom.
Sites, in units of the cell vectors:
Ga 0.0000 0.0000 0.5988  8 Sc 2.90-2.91
Ga 0.0000 0.0000 0.4012  8 Sc 2.90-2.91
Ga 0.0000 0.0000 0.7984  8 Sc 2.86-2.94
Ga 0.0000 0.0000 0.2016  8 Sc 2.86-2.94
Sc 0.5000 0.5000 0.6967  8 Ga 2.90-2.94
Sc 0.5000 0.5000 0.1082  4 Ga 2.86, 4 Li 3.01
Sc 0.5000 0.5000 0.3033  8 Ga 2.90-2.94
Sc 0.5000 0.5000 0.8918  4 Ga 2.86, 4 Li 3.01
Sc 0.5000 0.5000 0.5000  8 Ga 2.91
Li 0.0000 0.0000 0.0000  8 Sc 3.01, 4 Li 3.34

---

This record from Alexandria via LeMat-Bulk describes LiSc4Ga3 after structural relaxation. The functional is PBE-GGA.

Output
formation enthalpy at 0 K = -498 meV per atom
DOS at the Fermi energy = 0.7594 states/eV/atom
space-group type = R-3m (166)
VASP energy = -40.3 eV per cell

Cell lengths 4.7496, 4.7496, 8.2907 Å; angles 73.35, 73.35, 60.00 degrees
With the nearest neighbours (Å) after each atom.
Sites, in units of the cell vectors:
Sc 0.1264 0.1264 0.6208  7 Ga 2.90-3.08, 1 Li 2.97
Sc 0.6221 0.6221 0.1338  5 Ga 2.82-2.87, 3 Li 2.94
Sc 0.3779 0.3779 0.8662  5 Ga 2.82-2.87, 3 Li 2.94
Sc 0.8736 0.8736 0.3792  7 Ga 2.90-3.08, 1 Li 2.97
Ga 0.2576 0.2576 0.2272  8 Sc 2.82-3.08
Ga 0.7424 0.7424 0.7728  8 Sc 2.82-3.08
Ga 0.5000 0.5000 0.5000  8 Sc 2.87-2.90
Li 0.0000 0.0000 0.0000  8 Sc 2.94-2.97, 6 Ga 3.27

---

This record from Alexandria via LeMat-Bulk describes LiScGa3 after structural relaxation. The functional is PBE-GGA.

Output
distance to the lowest polymorph of the same formula = 0.737 eV/atom
formation enthalpy at 0 K = 384 meV per atom
DOS at the Fermi energy = 0.9314 states/eV/atom
space-group type = Pm-3m (221)
VASP energy = -15.4 eV per cell

Cell lengths 5.2408, 5.2408, 5.2408 Å; angles 90.00, 90.00, 90.00 degrees
With the nearest neighbours (Å) after each atom.
Sites, in units of the cell vectors:
Ga 0.0000 0.5000 0.0000  2 Sc 2.62
Ga 0.0000 0.0000 0.5000  2 Sc 2.62
Ga 0.5000 0.0000 0.0000  2 Sc 2.62
Sc 0.0000 0.0000 0.0000  6 Ga 2.62
Li 0.5000 0.5000 0.5000  12 Ga 3.71

---

This record from Alexandria via LeMat-Bulk describes LiScGa3 after structural relaxation. The functional is PBE-GGA.

Output
distance to the lowest polymorph of the same formula = 0.000 eV/atom
formation enthalpy at 0 K = -352 meV per atom
DOS at the Fermi energy = 0.6535 states/eV/atom
space-group type = Cmcm (63)
VASP energy = -38.2 eV per cell

Cell lengths 4.3125, 3.2643, 13.2282 Å; angles 97.09, 90.00, 90.00 degrees
With the nearest neighbours (Å) after each atom.
Sites, in units of the cell vectors:
Ga 0.7500 0.3229 0.6458  2 Ga 2.63, 5 Sc 2.87-2.88
Ga 0.2500 0.6771 0.3542  2 Ga 2.63, 5 Sc 2.87-2.88
Ga 0.2500 0.3801 0.7603  3 Ga 2.51-2.63
Ga 0.7500 0.5243 0.0486  3 Ga 2.51
Ga 0.7500 0.6199 0.2397  3 Ga 2.51-2.63
Ga 0.2500 0.4757 0.9514  3 Ga 2.51
Li 0.7500 0.9234 0.8468  12 Ga 2.93-3.11, 2 Li 3.26
Li 0.2500 0.0766 0.1532  12 Ga 2.93-3.11, 2 Li 3.26
Sc 0.2500 0.7867 0.5734  7 Ga 2.87-2.95
Sc 0.7500 0.2133 0.4266  7 Ga 2.87-2.95

---

This record from Alexandria via LeMat-Bulk describes LiScGa after structural relaxation. The functional is PBE-GGA.

Output
distance to the lowest polymorph of the same formula = 0.010 eV/atom
formation enthalpy at 0 K = -348 meV per atom
DOS at the Fermi energy = 0.7892 states/eV/atom
space-group type = P6_3/mmc (194)
VASP energy = -24.6 eV per cell

Cell lengths 4.4782, 4.4787, 6.2708 Å; angles 90.00, 90.00, 120.00 degrees
With the nearest neighbours (Å) after each atom.
Sites, in units of the cell vectors:
Sc 0.0000 0.0000 0.5000  6 Ga 3.02, 6 Li 3.02-3.03, 2 Sc 3.14
Sc 0.0000 0.0000 0.0000  6 Ga 3.02, 6 Li 3.02-3.03, 2 Sc 3.14
Ga 0.6668 0.3337 0.2500  3 Li 2.59
Ga 0.3332 0.6663 0.7500  3 Li 2.59
Li 0.3335 0.6670 0.2500  3 Ga 2.59
Li 0.6665 0.3330 0.7500  3 Ga 2.59